(1)
Computed, not measured: a geometry-optimized CeCrB structure at the PBE level of DFT.

density of states at the Fermi level = 1.40 states/eV per atom
energy of formation from the pure elements = -0.1568 eV/atom
density = 6.7 g/cm3
uncorrected energy = -7.568 eV per atom
crystal system = tetragonal

Cell and atoms, written as CIF:
```
data_CeCrB
_chemical_formula_sum 'Ce2 Cr2 B2'
_cell_length_a 3.354
_cell_length_b 3.354
_cell_length_c 8.941
_cell_angle_alpha 90.00
_cell_angle_beta 90.00
_cell_angle_gamma 90.00
_space_group_name_H-M_alt 'P 1'
_space_group_IT_number 1
_space_group_name_Hall 'P 1'
loop_
_atom_site_label
_atom_site_fract_x
_atom_site_fract_y
_atom_site_fract_z
Ce1 0.000 0.500 0.802
Ce2 0.500 0.000 0.198
B1 0.000 0.500 0.343
B2 0.500 0.000 0.657
Cr1 0.500 0.500 0.500
Cr2 0.000 0.000 0.500
```

(2)
Computed, not measured: a geometry-optimized La6NiIr2Cl3 structure at the PBE level of DFT.

density of states at the Fermi level = 0.55 states/eV per atom
density = 6.7 g/cm3
uncorrected energy = -6.106 eV per atom
crystal system = monoclinic
ΔE_f (raw) = -14.7 eV/f.u.

Cell and atoms, written as CIF:
```
data_La6NiIr2Cl3
_chemical_formula_sum 'La6 Ni1 Ir2 Cl3'
_cell_length_a 4.167
_cell_length_b 9.011
_cell_length_c 9.953
_cell_angle_alpha 109.08
_cell_angle_beta 102.08
_cell_angle_gamma 90.00
_space_group_name_H-M_alt 'P 1'
_space_group_IT_number 1
_space_group_name_Hall 'P 1'
loop_
_atom_site_label
_atom_site_fract_x
_atom_site_fract_y
_atom_site_fract_z
La1 0.343 0.892 0.686
La2 0.677 0.556 0.353
La3 0.657 0.108 0.314
La4 0.010 0.222 0.021
La5 0.990 0.778 0.979
La6 0.323 0.444 0.647
Ni1 0.500 0.000 0.000
Ir1 0.835 0.671 0.669
Ir2 0.165 0.329 0.331
Cl1 0.500 0.500 0.000
Cl2 0.835 0.167 0.669
Cl3 0.165 0.833 0.331
```

(3)
Computed, not measured: a geometry-optimized KEuBi structure at the PBE level of DFT.

density of states at the Fermi level = 3.60 states/eV per atom
energy of formation from the pure elements = -0.4304 eV/atom
density = 5.1 g/cm3
uncorrected energy = -5.515 eV per atom
crystal system = tetragonal

Cell and atoms, written as CIF:
```
data_KEuBi
_chemical_formula_sum 'K1 Eu1 Bi1'
_cell_length_a 4.527
_cell_length_b 4.527
_cell_length_c 7.085
_cell_angle_alpha 108.63
_cell_angle_beta 108.63
_cell_angle_gamma 90.00
_space_group_name_H-M_alt 'P 1'
_space_group_IT_number 1
_space_group_name_Hall 'P 1'
loop_
_atom_site_label
_atom_site_fract_x
_atom_site_fract_y
_atom_site_fract_z
Eu1 0.335 0.335 0.669
K1 0.607 0.607 0.214
Bi1 0.908 0.908 0.817
```

(4)
Computed, not measured: a geometry-optimized Pr4Nd4Sm3 structure at the PBE level of DFT.

density of states at the Fermi level = 1.79 states/eV per atom
energy of formation from the pure elements = 0.1409 eV/atom
offset from the most stable computed form = 0.35 kcal/mol of atoms
density = 6.7 g/cm3
uncorrected energy = -4.618 eV per atom
crystal system = orthorhombic

Cell and atoms, written as CIF:
```
data_Pr4Nd4Sm3
_chemical_formula_sum 'Pr4 Nd4 Sm3'
_cell_length_a 5.854
_cell_length_b 6.798
_cell_length_c 10.946
_cell_angle_alpha 90.00
_cell_angle_beta 90.00
_cell_angle_gamma 115.50
_space_group_name_H-M_alt 'P 1'
_space_group_IT_number 1
_space_group_name_Hall 'P 1'
loop_
_atom_site_label
_atom_site_fract_x
_atom_site_fract_y
_atom_site_fract_z
Pr1 0.754 0.508 0.793
Pr2 0.754 0.508 0.207
Pr3 0.890 0.781 0.500
Pr4 0.958 0.915 0.000
Nd1 0.616 0.231 0.500
Nd2 0.549 0.098 0.000
Nd3 0.104 0.209 0.700
Nd4 0.104 0.209 0.300
Sm1 0.408 0.815 0.295
Sm2 0.408 0.815 0.705
Sm3 0.254 0.507 0.000
```

(5)
Computed, not measured: a geometry-optimized La2TbSb structure at the PBE level of DFT.

density of states at the Fermi level = 1.14 states/eV per atom
offset from the most stable computed form = 5.61 kcal/mol of atoms
density = 7.4 g/cm3
uncorrected energy = -4.983 eV per atom
crystal system = cubic
ΔE_f (raw) = -1.3 eV/f.u.

Cell and atoms, written as CIF:
```
data_La2TbSb
_chemical_formula_sum 'La2 Tb1 Sb1'
_cell_length_a 5.621
_cell_length_b 5.621
_cell_length_c 5.621
_cell_angle_alpha 60.00
_cell_angle_beta 60.00
_cell_angle_gamma 60.00
_space_group_name_H-M_alt 'P 1'
_space_group_IT_number 1
_space_group_name_Hall 'P 1'
loop_
_atom_site_label
_atom_site_fract_x
_atom_site_fract_y
_atom_site_fract_z
Sb1 0.000 0.000 0.000
Tb1 0.500 0.500 0.500
La1 0.750 0.750 0.750
La2 0.250 0.250 0.250
```

(6)
Computed, not measured: a geometry-optimized BaSnSb2 structure at the PBE level of DFT.

density of states at the Fermi level = 0.31 states/eV per atom
density = 6.0 g/cm3
uncorrected energy = -4.057 eV per atom
crystal system = tetragonal
ΔE_f (raw) = -2.1 eV/f.u.

Cell and atoms, written as CIF:
```
data_BaSnSb2
_chemical_formula_sum 'Ba2 Sn2 Sb4'
_cell_length_a 7.128
_cell_length_b 7.130
_cell_length_c 7.130
_cell_angle_alpha 64.39
_cell_angle_beta 73.51
_cell_angle_gamma 106.49
_space_group_name_H-M_alt 'P 1'
_space_group_IT_number 1
_space_group_name_Hall 'P 1'
loop_
_atom_site_label
_atom_site_fract_x
_atom_site_fract_y
_atom_site_fract_z
Ba1 0.000 0.250 0.750
Ba2 0.000 0.750 0.250
Sn1 0.500 0.250 0.250
Sn2 0.500 0.750 0.750
Sb1 0.500 0.315 0.815
Sb2 0.131 0.815 0.685
Sb3 0.869 0.185 0.315
Sb4 0.500 0.685 0.185
```

(7)
Computed, not measured: a geometry-optimized Sm2ZnGa structure at the PBE level of DFT.

density of states at the Fermi level = 1.24 states/eV per atom
energy of formation from the pure elements = -0.4463 eV/atom
offset from the most stable computed form = 0.24 kcal/mol of atoms
density = 7.4 g/cm3
uncorrected energy = -3.881 eV per atom
crystal system = tetragonal

Cell and atoms, written as CIF:
```
data_Sm2ZnGa
_chemical_formula_sum 'Sm2 Zn1 Ga1'
_cell_length_a 3.646
_cell_length_b 5.164
_cell_length_c 5.164
_cell_angle_alpha 90.00
_cell_angle_beta 90.00
_cell_angle_gamma 90.00
_space_group_name_H-M_alt 'P 1'
_space_group_IT_number 1
_space_group_name_Hall 'P 1'
loop_
_atom_site_label
_atom_site_fract_x
_atom_site_fract_y
_atom_site_fract_z
Zn1 0.500 0.500 0.500
Ga1 0.500 0.000 0.000
Sm1 0.000 0.000 0.500
Sm2 0.000 0.500 0.000
```

(8)
Computed, not measured: a geometry-optimized Li2ZrFe structure at the PBE level of DFT.

density of states at the Fermi level = 0.75 states/eV per atom
energy of formation from the pure elements = 0.3043 eV/atom
offset from the most stable computed form = 2.98 kcal/mol of atoms
density = 3.9 g/cm3
uncorrected energy = -4.905 eV per atom
crystal system = monoclinic

Cell and atoms, written as CIF:
```
data_Li2ZrFe
_chemical_formula_sum 'Li2 Zr1 Fe1'
_cell_length_a 4.794
_cell_length_b 4.794
_cell_length_c 5.807
_cell_angle_alpha 66.12
_cell_angle_beta 66.12
_cell_angle_gamma 34.94
_space_group_name_H-M_alt 'P 1'
_space_group_IT_number 1
_space_group_name_Hall 'P 1'
loop_
_atom_site_label
_atom_site_fract_x
_atom_site_fract_y
_atom_site_fract_z
Fe1 0.713 0.713 0.627
Li1 0.058 0.058 0.042
Li2 0.277 0.277 0.215
Zr1 0.451 0.451 0.616
```